1.
# LiPmThAg (GGA-PBE, relaxed)
data_LiPmThAg
_cell_length_a 7.477
_cell_length_b 7.477
_cell_length_c 7.477
_cell_angle_alpha 90.00
_cell_angle_beta 90.00
_cell_angle_gamma 90.00
_symmetry_space_group_name_H-M 'F -4 3 m'
_symmetry_Int_Tables_number 216
_symmetry_space_group_name_Hall 'F -4 2 3'
loop_
_atom_site_label
_atom_site_fract_x
_atom_site_fract_y
_atom_site_fract_z
Li1 0.000 0.000 0.000
Pm1 0.250 0.250 0.250
Th1 0.250 0.250 0.750
Ag1 0.000 0.000 0.500
# Formation energy: 75 meV/atom

=====

2.
# LaY3B4O12 (GGA-PBE, relaxed)
data_LaY3B4O12
_cell_length_a 10.2210
_cell_length_b 10.2210
_cell_length_c 8.6213
_cell_angle_alpha 90.00
_cell_angle_beta 90.00
_cell_angle_gamma 120.00
_symmetry_space_group_name_H-M 'R 3 2'
_symmetry_Int_Tables_number 155
_symmetry_space_group_name_Hall 'R 3 2"'
loop_
_atom_site_label
_atom_site_fract_x
_atom_site_fract_y
_atom_site_fract_z
La1 0.0000 0.0000 0.0000
Y1 0.0000 0.5367 0.0000
B1 0.0000 0.0000 0.5000
B2 0.0000 0.4620 0.5000
O1 0.0000 0.5974 0.5000
O2 0.0000 0.8647 0.5000
O3 0.0050 0.2005 0.1729
# Electronic total energy: -516.462 eV for the cell shown

=====

3.
# TbDyGaSn (GGA-PBE, relaxed)
data_TbDyGaSn
_cell_length_a 4.167
_cell_length_b 4.470
_cell_length_c 11.165
_cell_angle_alpha 90.00
_cell_angle_beta 90.00
_cell_angle_gamma 90.00
_symmetry_space_group_name_H-M 'A m m 2'
_symmetry_Int_Tables_number 38
loop_
_symmetry_equiv_pos_as_xyz
'x,y,z'
'-x,-y,z'
'-x,y,z'
'x,-y,z'
'x,y+1/2,z+1/2'
'-x,-y+1/2,z+1/2'
'-x,y+1/2,z+1/2'
'x,-y+1/2,z+1/2'
loop_
_atom_site_label
_atom_site_fract_x
_atom_site_fract_y
_atom_site_fract_z
Tb1 0.000 0.000 0.000
Dy1 0.500 0.000 0.279
Ga1 0.500 0.000 0.548
Sn1 0.000 0.000 0.716
# Formation energy: -704 meV/atom

=====

4.
# RhC3 (GGA-PBE, relaxed)
data_RhC3
_cell_length_a 3.698
_cell_length_b 7.328
_cell_length_c 2.950
_cell_angle_alpha 90.00
_cell_angle_beta 90.00
_cell_angle_gamma 90.00
_symmetry_space_group_name_H-M 'C m m m'
_symmetry_Int_Tables_number 65
_symmetry_space_group_name_Hall '-C 2 2'
loop_
_atom_site_label
_atom_site_fract_x
_atom_site_fract_y
_atom_site_fract_z
Rh1 0.000 0.000 0.000
C1 0.000 0.500 0.000
C2 0.250 0.250 0.500
# Formation energy: 2762 meV/atom

=====

5.
# EuPuTlSb (GGA-PBE, relaxed)
data_EuPuTlSb
_cell_length_a 7.738
_cell_length_b 7.738
_cell_length_c 7.738
_cell_angle_alpha 90.00
_cell_angle_beta 90.00
_cell_angle_gamma 90.00
_symmetry_space_group_name_H-M 'F -4 3 m'
_symmetry_Int_Tables_number 216
_symmetry_space_group_name_Hall 'F -4 2 3'
loop_
_atom_site_label
_atom_site_fract_x
_atom_site_fract_y
_atom_site_fract_z
Eu1 0.000 0.000 0.000
Pu1 0.000 0.000 0.500
Tl1 0.250 0.250 0.250
Sb1 0.250 0.250 0.750
# Electronic total energy: -130.910 eV for the cell shown

=====

6.
# ZrCrPt2 (GGA-PBE, relaxed)
data_ZrCrPt2
_cell_length_a 2.841
_cell_length_b 2.841
_cell_length_c 7.990
_cell_angle_alpha 90.00
_cell_angle_beta 90.00
_cell_angle_gamma 90.00
_symmetry_space_group_name_H-M 'P 4 m m'
_symmetry_Int_Tables_number 99
loop_
_symmetry_equiv_pos_as_xyz
'x,y,z'
'-y,x,z'
'-x,-y,z'
'y,-x,z'
'-x,y,z'
'y,x,z'
'x,-y,z'
'-y,-x,z'
loop_
_atom_site_label
_atom_site_fract_x
_atom_site_fract_y
_atom_site_fract_z
Zr1 0.000 0.000 0.000
Cr1 0.500 0.500 0.264
Pt1 0.000 0.000 0.470
Pt2 0.500 0.500 0.735
# Formation energy: -246 meV/atom

=====

7.
# Sr2ZnPt (GGA-PBE, relaxed)
data_Sr2ZnPt
_cell_length_a 5.284
_cell_length_b 5.284
_cell_length_c 3.845
_cell_angle_alpha 90.00
_cell_angle_beta 90.00
_cell_angle_gamma 90.00
_symmetry_space_group_name_H-M 'P 4/m m m'
_symmetry_Int_Tables_number 123
_symmetry_space_group_name_Hall '-P 4 2'
loop_
_atom_site_label
_atom_site_fract_x
_atom_site_fract_y
_atom_site_fract_z
Sr1 0.000 0.500 0.000
Zn1 0.000 0.000 0.500
Pt1 0.500 0.500 0.500
# Formation energy: -451 meV/atom

=====

8.
# TbZnHRh2 (GGA-PBE, relaxed)
data_TbZnHRh2
_cell_length_a 3.421
_cell_length_b 11.566
_cell_length_c 7.466
_cell_angle_alpha 90.00
_cell_angle_beta 90.00
_cell_angle_gamma 90.00
_symmetry_space_group_name_H-M 'C m c m'
_symmetry_Int_Tables_number 63
_symmetry_space_group_name_Hall '-C 2c 2'
loop_
_atom_site_label
_atom_site_fract_x
_atom_site_fract_y
_atom_site_fract_z
Tb1 0.000 0.030 0.250
Zn1 0.000 0.239 0.750
H1 0.000 0.500 0.000
Rh1 0.000 0.354 0.039
# Electronic total energy: -106.259 eV for the cell shown

=====

Across the entries above, Fermi-level density of states takes the values 1.261; 0.000; 0.882; 0.377; 3.281; 0.641; 0.611; 0.430 states/eV per atom, respectively.
Across the entries above, magnetization takes the values 1.1; 0.0; 0.0; 0.0; 13.3; 0.0; 0.0; 0.0 μB/f.u., respectively.